No. 1
## K3Ce2O4F3 (GGA-PBE)

Data for K3Ce2O4F3 after structural relaxation.

## Properties
Formation energy (no corrections) in kJ per mole of atoms: -281
Space group: Immm, No. 71

a = 12.0348 Å, b = 12.0348 Å, c = 12.0348 Å
α = 159.23°, β = 157.61°, γ = 30.72°
With the nearest neighbours (Å) after each atom.
Fractional coordinates of all 12 atoms:
K (0.0000, 0.0000, 0.0000)  8 F 2.99-3.19, 4 O 3.21
K (0.1964, 0.1964, 0.0000)  1 O 2.61
K (0.8036, 0.8036, 0.0000)  1 O 2.61
Ce (0.3954, 0.3954, 0.0000)  3 O 2.00-2.18
Ce (0.6046, 0.6046, 0.0000)  3 O 2.00-2.18
O (0.3090, 0.3090, 0.0000)  1 Ce 2.00
O (0.4050, 0.9050, 0.5000)  2 Ce 2.18
O (0.5950, 0.0950, 0.5000)  2 Ce 2.18
O (0.6910, 0.6910, 0.0000)  1 Ce 2.00
F (0.0888, 0.5888, 0.5000)  2 Ce 2.37
F (0.5000, 0.5000, 0.0000)  2 Ce 2.43
F (0.9112, 0.4112, 0.5000)  2 Ce 2.37



No. 2
## K3Ce2O3F4 (GGA-PBE)

Data for K3Ce2O3F4 after structural relaxation.

## Properties
Formation energy (no corrections) in kJ per mole of atoms: -296
Space group: Imm2, No. 44

a = 11.6907 Å, b = 11.6907 Å, c = 11.6907 Å
α = 158.48°, β = 32.23°, γ = 156.30°
With the nearest neighbours (Å) after each atom.
Fractional coordinates of all 12 atoms:
K (0.0000, 0.0000, 0.0000)  4 O 3.04-3.09, 4 F 3.09
K (0.2865, 0.0974, 0.1891)  3 F 2.59-2.73
K (0.9083, 0.0974, 0.8109)  3 F 2.59-2.73
Ce (0.4591, 0.0564, 0.4027)  3 O 2.19-2.21, 3 F 2.39-2.41
Ce (0.6537, 0.0564, 0.5973)  3 O 2.19-2.21, 3 F 2.39-2.41
O (0.4934, 0.6016, 0.8918)  2 Ce 2.21
O (0.5593, 0.0593, 0.5000)  2 Ce 2.19
O (0.7098, 0.6016, 0.1082)  2 Ce 2.21
F (0.1540, 0.5576, 0.5963)  2 Ce 2.39-2.41
F (0.2317, 0.9330, 0.2987)  1 Ce 2.41, 1 K 2.59
F (0.6343, 0.9330, 0.7013)  1 Ce 2.41, 1 K 2.59
F (0.9613, 0.5576, 0.4037)  2 Ce 2.39-2.41



No. 3
## K2CePd3F12 (GGA-PBE)

Data for K2CePd3F12 after structural relaxation.

## Properties
Formation energy (no corrections) in kJ per mole of atoms: -214
Space group: R-3m, No. 166

a = 9.3266 Å, b = 9.3266 Å, c = 9.3266 Å
α = 42.23°, β = 42.23°, γ = 42.23°
With the nearest neighbours (Å) after each atom.
Fractional coordinates of all 18 atoms:
K (0.1345, 0.1345, 0.1345)  3 F 2.78
K (0.8655, 0.8655, 0.8655)  3 F 2.78
Ce (0.5000, 0.5000, 0.5000)  6 F 2.17
Pd (0.0000, 0.5000, 0.5000)  4 F 2.01
Pd (0.5000, 0.0000, 0.5000)  4 F 2.01
Pd (0.5000, 0.5000, 0.0000)  4 F 2.01
F (0.1355, 0.6175, 0.6175)  1 Ce 2.17
F (0.1562, 0.1562, 0.5871)  2 Pd 2.01
F (0.1562, 0.5871, 0.1562)  2 Pd 2.01
F (0.3825, 0.3825, 0.8645)  1 Ce 2.17
F (0.3825, 0.8645, 0.3825)  1 Ce 2.17
F (0.4129, 0.8438, 0.8438)  2 Pd 2.01
F (0.5871, 0.1562, 0.1562)  2 Pd 2.01
F (0.6175, 0.1355, 0.6175)  1 Ce 2.17
F (0.6175, 0.6175, 0.1355)  1 Ce 2.17
F (0.8438, 0.4129, 0.8438)  2 Pd 2.01
F (0.8438, 0.8438, 0.4129)  2 Pd 2.01
F (0.8645, 0.3825, 0.3825)  1 Ce 2.17



What did the second record say?
## K3Ce2O3F4 (GGA-PBE)

Data for K3Ce2O3F4 after structural relaxation.

## Properties
Formation energy (no corrections) in kJ per mole of atoms: -296
Space group: Imm2, No. 44

a = 11.6907 Å, b = 11.6907 Å, c = 11.6907 Å
α = 158.48°, β = 32.23°, γ = 156.30°
With the nearest neighbours (Å) after each atom.
Fractional coordinates of all 12 atoms:
K (0.0000, 0.0000, 0.0000)  4 O 3.04-3.09, 4 F 3.09
K (0.2865, 0.0974, 0.1891)  3 F 2.59-2.73
K (0.9083, 0.0974, 0.8109)  3 F 2.59-2.73
Ce (0.4591, 0.0564, 0.4027)  3 O 2.19-2.21, 3 F 2.39-2.41
Ce (0.6537, 0.0564, 0.5973)  3 O 2.19-2.21, 3 F 2.39-2.41
O (0.4934, 0.6016, 0.8918)  2 Ce 2.21
O (0.5593, 0.0593, 0.5000)  2 Ce 2.19
O (0.7098, 0.6016, 0.1082)  2 Ce 2.21
F (0.1540, 0.5576, 0.5963)  2 Ce 2.39-2.41
F (0.2317, 0.9330, 0.2987)  1 Ce 2.41, 1 K 2.59
F (0.6343, 0.9330, 0.7013)  1 Ce 2.41, 1 K 2.59
F (0.9613, 0.5576, 0.4037)  2 Ce 2.39-2.41



Q: Look up the formation energy (no corrections) of the third one.
A: -214 kJ per mole of atoms



Q: Which formula does entry 3 have?
A: K2CePd3F12



Q: The lowest formation energy (no corrections) belongs to which entry?
A: K3Ce2O3F4